[1]
{
  "formula": "MgGa3Ag7",
  "functional": "PBE",
  "state": "relaxed",
  "lattice": [[5.5194, -0.4887, -0.6259], [-3.2055, 6.5336, 0.5968], [-3.2055, -1.0050, 6.4833]],
  "species": ["Mg", "Ga", "Ga", "Ga", "Ag", "Ag", "Ag", "Ag", "Ag", "Ag", "Ag"],
  "frac_coords": [[0.5000, 0.5000, 0.5000], [0.0000, 0.7730, 0.2270], [0.5000, 0.0000, 0.0000], [0.0000, 0.2270, 0.7730], [0.3271, 0.1895, 0.1895], [0.3297, 0.0570, 0.5877], [0.6703, 0.4123, 0.9430], [0.3297, 0.5877, 0.0570], [0.0000, 0.5000, 0.5000], [0.6703, 0.9430, 0.4123], [0.6729, 0.8105, 0.8105]],
  "density_g_cm3": 7.72,
  "space_group": "C2/m, No. 12",
  "e_form_ev_per_atom": 0.062,
  "vol_a3_per_atom": 19.3
}

***

[2]
{
  "formula": "Mg3Ga3Ag2",
  "functional": "PBE",
  "state": "relaxed",
  "lattice": [[5.4942, 0.6657, -0.6726], [0.6718, 5.4934, -0.6726], [-0.6664, -0.6657, 5.4950]],
  "species": ["Mg", "Mg", "Mg", "Ga", "Ga", "Ga", "Ag", "Ag"],
  "frac_coords": [[0.2101, 0.7899, 0.5000], [0.5000, 0.2101, 0.2101], [0.7899, 0.5000, 0.7899], [0.2368, 0.7632, 0.0000], [0.0000, 0.2368, 0.2368], [0.7632, 0.0000, 0.7632], [0.3102, 0.3102, 0.6898], [0.6898, 0.6898, 0.3102]],
  "density_g_cm3": 5.20,
  "space_group": "R32, No. 155",
  "e_form_ev_per_atom": -0.062,
  "vol_a3_per_atom": 19.9
}

***

[3]
{
  "formula": "Mg6GaAg3",
  "functional": "PBE",
  "state": "relaxed",
  "lattice": [[4.8001, 0.0000, 0.0000], [0.0000, 7.8405, -2.4767], [0.0000, 0.1562, 10.1896]],
  "species": ["Mg", "Mg", "Mg", "Mg", "Mg", "Mg", "Mg", "Mg", "Mg", "Mg", "Mg", "Mg", "Ga", "Ga", "Ag", "Ag", "Ag", "Ag", "Ag", "Ag"],
  "frac_coords": [[0.2500, 0.4614, 0.0925], [0.7500, 0.5386, 0.9075], [0.2500, 0.1514, 0.1986], [0.7500, 0.8486, 0.8014], [0.2500, 0.6377, 0.6903], [0.7500, 0.3623, 0.3097], [0.2500, 0.2504, 0.5084], [0.7500, 0.7496, 0.4916], [0.2500, 0.8392, 0.3010], [0.7500, 0.1608, 0.6990], [0.2500, 0.0696, 0.8965], [0.7500, 0.9304, 0.1035], [0.2500, 0.9442, 0.6064], [0.7500, 0.0558, 0.3936], [0.2500, 0.5387, 0.3916], [0.7500, 0.4613, 0.6084], [0.2500, 0.3586, 0.7985], [0.7500, 0.6414, 0.2015], [0.2500, 0.7629, 0.9864], [0.7500, 0.2371, 0.0136]],
  "density_g_cm3": 4.65,
  "space_group": "P2_1/m, No. 11",
  "e_form_ev_per_atom": -0.171,
  "vol_a3_per_atom": 19.3
}

***

[4]
{
  "formula": "Mg5GaAg2",
  "functional": "PBE",
  "state": "relaxed",
  "lattice": [[-5.0698, 5.1943, -1.0510], [-1.5529, -0.0654, 7.1675], [7.4898, 1.7049, -2.1139]],
  "species": ["Mg", "Mg", "Mg", "Mg", "Mg", "Mg", "Mg", "Mg", "Mg", "Mg", "Ga", "Ga", "Ag", "Ag", "Ag", "Ag"],
  "frac_coords": [[0.5024, 0.6899, 0.6923], [0.8101, 0.9976, 0.3077], [0.0000, 0.0000, 0.0000], [0.5000, 0.5000, 0.0000], [0.1899, 0.0024, 0.6923], [0.6899, 0.1899, 0.6923], [0.0024, 0.5024, 0.6923], [0.3101, 0.8101, 0.3077], [0.9976, 0.4976, 0.3077], [0.4976, 0.3101, 0.3077], [0.7500, 0.7500, 0.5000], [0.2500, 0.2500, 0.5000], [0.1388, 0.3612, 0.0000], [0.6388, 0.1388, 0.0000], [0.3612, 0.8612, 0.0000], [0.8612, 0.6388, 0.0000]],
  "density_g_cm3": 4.15,
  "space_group": "I4/mcm, No. 140",
  "e_form_ev_per_atom": -0.133,
  "vol_a3_per_atom": 20.3
}

***

[5]
{
  "formula": "Mg5Ga3Ag",
  "functional": "PBE",
  "state": "relaxed",
  "lattice": [[0.0253, 6.1558, 1.9090], [-4.0952, 2.0072, -4.5540], [-8.1704, -0.8149, 5.7321]],
  "species": ["Mg", "Mg", "Mg", "Mg", "Mg", "Mg", "Mg", "Mg", "Mg", "Mg", "Ga", "Ga", "Ga", "Ga", "Ga", "Ga", "Ag", "Ag"],
  "frac_coords": [[0.9898, 0.4014, 0.3487], [0.3117, 0.6883, 0.0000], [0.7338, 0.7338, 0.1441], [0.4670, 0.4670, 0.3345], [0.5330, 0.5330, 0.6655], [0.2662, 0.2662, 0.8559], [0.4014, 0.9898, 0.3487], [0.6883, 0.3117, 0.0000], [0.0102, 0.5986, 0.6513], [0.5986, 0.0102, 0.6513], [0.7279, 0.7279, 0.8685], [0.7354, 0.7354, 0.4324], [0.0000, 0.0000, 0.0000], [0.0000, 0.0000, 0.5000], [0.2721, 0.2721, 0.1315], [0.2646, 0.2646, 0.5676], [0.0107, 0.0107, 0.7487], [0.9893, 0.9893, 0.2513]],
  "density_g_cm3": 3.54,
  "space_group": "C2/m, No. 12",
  "e_form_ev_per_atom": 0.029,
  "vol_a3_per_atom": 22.9
}

***

[6]
{
  "formula": "Mg4Ga5Ag2",
  "functional": "PBE",
  "state": "relaxed",
  "lattice": [[-2.0243, 0.7783, 2.1373], [-3.8627, -6.0196, -1.4665], [5.1761, -4.3066, 6.4707]],
  "species": ["Mg", "Mg", "Mg", "Mg", "Ga", "Ga", "Ga", "Ga", "Ga", "Ag", "Ag"],
  "frac_coords": [[0.5000, 0.7256, 0.5613], [0.5000, 0.1727, 0.8931], [0.5000, 0.2744, 0.4387], [0.5000, 0.8273, 0.1069], [0.0000, 0.5550, 0.2965], [0.0000, 0.1876, 0.1595], [0.0000, 0.5000, 0.0000], [0.0000, 0.8124, 0.8405], [0.0000, 0.4450, 0.7035], [0.0000, 0.0707, 0.6428], [0.0000, 0.9293, 0.3572]],
  "density_g_cm3": 5.30,
  "space_group": "P2/m, No. 10",
  "e_form_ev_per_atom": -0.140,
  "vol_a3_per_atom": 18.8
}

***

[7]
{
  "formula": "MgGa6Ag8",
  "functional": "PBE",
  "state": "relaxed",
  "lattice": [[6.6710, 0.9780, 1.0101], [0.7695, 6.6982, 1.0101], [0.7695, 0.7939, 6.7273]],
  "species": ["Mg", "Ga", "Ga", "Ga", "Ga", "Ga", "Ga", "Ag", "Ag", "Ag", "Ag", "Ag", "Ag", "Ag", "Ag"],
  "frac_coords": [[0.0000, 0.0000, 0.0000], [0.6396, 0.4325, 0.8313], [0.4325, 0.8313, 0.6396], [0.8313, 0.6396, 0.4325], [0.3604, 0.5675, 0.1687], [0.5675, 0.1687, 0.3604], [0.1687, 0.3604, 0.5675], [0.7944, 0.7944, 0.7944], [0.2056, 0.2056, 0.2056], [0.5603, 0.8593, 0.1909], [0.8593, 0.1909, 0.5603], [0.1909, 0.5603, 0.8593], [0.4397, 0.1407, 0.8091], [0.1407, 0.8091, 0.4397], [0.8091, 0.4397, 0.1407]],
  "density_g_cm3": 7.57,
  "space_group": "R-3, No. 148",
  "e_form_ev_per_atom": 0.014,
  "vol_a3_per_atom": 19.1
}

***

[8]
{
  "formula": "Mg3GaAg",
  "functional": "PBE",
  "state": "relaxed",
  "lattice": [[-1.2806, -2.9344, 3.8752], [2.0228, -3.9657, -2.3345], [4.4200, 0.9647, 2.1911]],
  "species": ["Mg", "Mg", "Mg", "Ga", "Ag"],
  "frac_coords": [[0.0000, 0.5000, 0.0000], [0.0000, 0.0000, 0.5000], [0.5000, 0.0000, 0.0000], [0.0000, 0.0000, 0.0000], [0.5000, 0.5000, 0.5000]],
  "density_g_cm3": 3.27,
  "space_group": "Pm-3m, No. 221",
  "e_form_ev_per_atom": 0.219,
  "vol_a3_per_atom": 25.4
}